Computed, not measured: a relaxed KSr2BiSe4 crystal at the PBE level of DFT.

Results
Space-group type: No. 74
Calculated total energy (eV per cell): -66.19
ΔE_f (raw) (eV per atom): -1.352
Total magnetization (Bohr magnetons per cell): 0.000

a = 8.850 Å, b = 8.850 Å, c = 8.898 Å
α = 120.18°, β = 120.18°, γ = 89.36°
Element x y z (fractional)
Se  0.269  0.754  0.511
K  0.000  0.500  0.500
Sr  0.500  0.500  0.000
Bi  0.500  0.500  0.500
Sr  0.500  0.000  0.000
K  0.000  0.500  0.000
Sr  0.500  0.000  0.500
Bi  0.000  0.000  0.000
Se  0.747  0.753  0.513
Se  0.253  0.247  0.013
Se  0.731  0.246  0.489
Sr  0.000  0.000  0.500
Se  0.253  0.247  0.487
Se  0.746  0.231  0.989
Se  0.254  0.769  0.011
Se  0.747  0.753  0.987

Computed, not measured: a relaxed K3TaBi3Se8 crystal at the PBE level of DFT.

Results
Space-group type: No. 12
Calculated total energy (eV per cell): -66.01
ΔE_f (raw) (eV per atom): -0.757
Total magnetization (Bohr magnetons per cell): 0.991

a = 8.439 Å, b = 8.463 Å, c = 9.228 Å
α = 117.33°, β = 89.97°, γ = 120.04°
Last column: magnetic moment on the atom in μB.
Element x y z (fractional)
Se  0.262  0.524  0.286  0.00
Ta  0.000  0.000  0.500  0.66
Se  0.738  0.476  0.714  0.00
Se  0.236  0.023  0.310  -0.02
K  0.500  0.500  0.000  0.00
Se  0.213  0.426  0.690  -0.02
Se  0.764  0.977  0.690  -0.02
Se  0.787  0.574  0.310  -0.02
Se  0.787  0.023  0.310  -0.02
Bi  0.000  0.500  0.500  0.07
Bi  0.500  0.000  0.500  0.06
K  0.000  0.500  0.000  0.00
K  0.000  0.000  0.000  0.00
Bi  0.500  0.500  0.500  0.06
Se  0.213  0.977  0.690  -0.02

Computed, not measured: a relaxed K2TbBiSe4 crystal at the PBE level of DFT.

Results
Space-group type: No. 10
Calculated total energy (eV per cell): -34.93
ΔE_f (raw) (eV per atom): -1.286
Total magnetization (Bohr magnetons per cell): 0.000

a = 4.274 Å, b = 7.433 Å, c = 8.084 Å
α = 107.68°, β = 90.00°, γ = 90.00°
Element x y z (fractional)
Se  0.500  0.757  0.790
Bi  0.000  0.000  0.000
K  0.500  0.000  0.500
Se  0.000  0.270  0.793
Se  0.500  0.243  0.210
K  0.000  0.500  0.500
Tb  0.500  0.500  0.000
Se  0.000  0.730  0.207